No. 1
The following is a DFT calculation (PBE-GGA) of a geometry-optimized Tb2Pr3TmS6 structure.

a b c (Å): 6.876 6.876 7.042
angles (deg): 99.36 99.36 120.15
Positions (direct):
1 Tb 0.167 0.833 0.000
2 Tb 0.833 0.167 0.000
3 Pr 0.000 0.000 0.500
4 Pr 0.331 0.669 0.500
5 Pr 0.669 0.331 0.500
6 Tm 0.500 0.500 0.000
7 S 0.095 0.424 0.770
8 S 0.249 0.249 0.232
9 S 0.424 0.095 0.770
10 S 0.576 0.905 0.230
11 S 0.751 0.751 0.768
12 S 0.905 0.576 0.230

Properties
ΔE_f (raw) (meV per atom): -2011
Space group: C2/m, No. 12

---

No. 2
The following is a DFT calculation (PBE-GGA) of a geometry-optimized SrGdMgAu structure.

a b c (Å): 5.411 5.411 5.411
angles (deg): 60.00 60.00 60.00
Positions (direct):
1 Sr 0.000 0.000 0.000
2 Gd 0.500 0.500 0.500
3 Mg 0.250 0.250 0.250
4 Au 0.750 0.750 0.750

Properties
Formation enthalpy at 0 K (meV per atom): -314
Space group: F-43m, No. 216

---

Number 1: density of states at the Fermi level 5.1 states/eV/cell. Number 2: density of states at the Fermi level 4.9 states/eV/cell.